(1)
Computed, not measured: an optimized crystal structure of Ac4LaAs5 at the PBE level of DFT.

a = 14.9766 Å, b = 4.5194 Å, c = 11.0650 Å
α = 90.00°, β = 119.49°, γ = 90.00°
Space group C2/m (No. 12)
One atom of each set of equivalent atoms:
1 Ac 0.1008 0.0000 0.3994 [4 per cell]
2 Ac 0.1995 0.5000 0.8021 [4 per cell]
3 La 0.0000 0.5000 0.0000 [2 per cell]
4 As 0.0000 0.5000 0.5000 [2 per cell]
5 As 0.0963 0.0000 0.9031 [4 per cell]
6 As 0.1980 0.5000 0.2948 [4 per cell]

## Properties
Final energy = -59.59 eV/f.u.


(2)
Computed, not measured: an optimized crystal structure of AcLaAs2 at the PBE level of DFT.

a = 4.4173 Å, b = 4.4173 Å, c = 14.8653 Å
α = 90.00°, β = 90.00°, γ = 120.00°
Space group P6_3/mmc (No. 194)
One atom of each set of equivalent atoms:
1 Ac 0.0000 0.0000 0.0000 [2 per cell]
2 La 0.3333 0.6667 0.2500 [2 per cell]
3 As 0.3333 0.6667 0.6279 [4 per cell]

## Properties
Final energy = -24.21 eV/f.u.
Offset from the most stable computed form = 1.23 kcal/mol of atoms


(3)
Computed, not measured: an optimized crystal structure of Ac3LaAs4 at the PBE level of DFT.

a = 9.0203 Å, b = 12.7494 Å, c = 4.5106 Å
α = 90.00°, β = 90.00°, γ = 90.00°
Space group Cmmm (No. 65)
One atom of each set of equivalent atoms:
1 Ac 0.0000 0.0000 0.0000 [2 per cell]
2 Ac 0.2500 0.2500 0.5000 [4 per cell]
3 La 0.0000 0.5000 0.0000 [2 per cell]
4 As 0.0000 0.2534 0.0000 [4 per cell]
5 As 0.2435 0.5000 0.5000 [4 per cell]

## Properties
Final energy = -47.85 eV/f.u.
Offset from the most stable computed form = 0.00 kcal/mol of atoms


(4)
Computed, not measured: an optimized crystal structure of Ac3LaAs4 at the PBE level of DFT.

a = 6.3803 Å, b = 6.3803 Å, c = 6.3803 Å
α = 90.00°, β = 90.00°, γ = 90.00°
Space group Pm-3m (No. 221)
One atom of each set of equivalent atoms:
1 Ac 0.0000 0.0000 0.5000 [3 per cell]
2 La 0.5000 0.5000 0.5000 [1 per cell]
3 As 0.0000 0.0000 0.0000 [1 per cell]
4 As 0.0000 0.5000 0.5000 [3 per cell]

## Properties
Final energy = -47.81 eV/f.u.
Offset from the most stable computed form = 0.12 kcal/mol of atoms


(5)
Computed, not measured: an optimized crystal structure of AcLaAs2 at the PBE level of DFT.

a = 4.3864 Å, b = 4.3864 Å, c = 22.9188 Å
α = 90.00°, β = 90.00°, γ = 120.00°
Space group R3m (No. 160, hexagonal axes)
One atom of each set of equivalent atoms:
1 Ac 0.0000 0.0000 0.0000 [3 per cell]
2 La 0.0000 0.0000 0.8298 [3 per cell]
3 As 0.0000 0.0000 0.4163 [3 per cell]
4 As 0.0000 0.0000 0.5790 [3 per cell]

## Properties
Final energy = -23.86 eV/f.u.
Offset from the most stable computed form = 3.30 kcal/mol of atoms


(6)
Computed, not measured: an optimized crystal structure of AcLa2As at the PBE level of DFT.

a = 3.9039 Å, b = 3.9039 Å, c = 8.6037 Å
α = 90.00°, β = 90.00°, γ = 90.00°
Space group P4/mmm (No. 123)
One atom of each set of equivalent atoms:
1 Ac 0.0000 0.0000 0.0000 [1 per cell]
2 La 0.5000 0.5000 0.3116 [2 per cell]
3 As 0.0000 0.0000 0.5000 [1 per cell]

## Properties
Final energy = -21.08 eV/f.u.
Offset from the most stable computed form = 1.80 kcal/mol of atoms


| no. | DOS(E_F) (states/eV/f.u.) |
| --- | --- |
| 1 | 0.40 |
| 2 | 0.73 |
| 3 | 0.53 |
| 4 | 1.53 |
| 5 | 0.10 |
| 6 | 6.25 |